## TiIrOF2 (GGA-PBE)

Data for a relaxed structure of TiIrOF2.

Cell and atoms, written as POSCAR:
```
TiIrOF2
1.0
4.501 0.000 0.000
0.000 4.501 0.000
0.000 0.000 3.736
F Ir Ti O
2 1 1 1
Direct
0.500 0.000 0.000
0.000 0.500 0.000
0.000 0.000 0.000
0.500 0.500 0.500
0.000 0.000 0.500
```

## Properties
Its energy relative to the elements, uncorrected is -504 meV/atom. As for the magnetic moment: 2.4 μB per formula unit. Its total energy is -0.20561 Ha/atom. Its volume is 76 Å³ per cell.

***

## TiIrO2F (GGA-PBE)

Data for a relaxed structure of TiIrO2F.

Cell and atoms, written as POSCAR:
```
TiIrO2F
1.0
3.874 0.000 0.000
0.000 3.874 0.000
0.000 0.000 4.451
F O Ir Ti
1 2 1 1
Direct
0.000 0.000 0.500
0.000 0.500 0.000
0.500 0.000 0.000
0.000 0.000 0.000
0.500 0.500 0.500
```

## Properties
Its energy relative to the elements, uncorrected is -378 meV/atom. As for the magnetic moment: 0.0 μB per formula unit. Its total energy is -0.22369 Ha/atom. Its volume is 67 Å³ per cell.

***

## TiIrOF2 (GGA-PBE)

Data for a relaxed structure of TiIrOF2.

Cell and atoms, written as POSCAR:
```
TiIrOF2
1.0
-3.407 -1.923 1.013
2.089 -3.417 0.541
0.575 0.940 3.720
Ti O F Ir
1 1 2 1
Direct
0.000 0.000 0.000
0.000 0.000 0.500
0.000 0.500 0.000
0.500 0.000 0.000
0.500 0.500 0.500
```

## Properties
Its energy relative to the elements, uncorrected is -1145 meV/atom. As for the magnetic moment: 1.2 μB per formula unit. Its total energy is -0.22920 Ha/atom. Its volume is 63 Å³ per cell.

***

## TiIrO2F (GGA-PBE)

Data for a relaxed structure of TiIrO2F.

Cell and atoms, written as POSCAR:
```
TiIrO2F
1.0
3.924 0.000 0.000
0.000 3.924 0.000
0.000 0.000 3.897
Ir F O Ti
1 1 2 1
Direct
0.500 0.500 0.500
0.000 0.000 0.500
0.500 0.000 0.000
0.000 0.500 0.000
0.000 0.000 0.000
```

## Properties
Its energy relative to the elements, uncorrected is -1088 meV/atom. As for the magnetic moment: 2.1 μB per formula unit. Its total energy is -0.24979 Ha/atom. Its volume is 60 Å³ per cell.